Density functional theory data (PBE) for an optimized crystal structure of Na2YAg.

```
8
Lattice="-6.5759 5.7396 1.4675 0.6254 -1.5076 8.6991 -0.9503 4.3731 5.3289" Properties=species:S:1:pos:R:3 pbc="T T T"
Y -2.9752 2.1160 5.0833
Y -1.6500 2.4908 9.5556
Na -4.6259 4.8033 3.4163
Na -0.3121 0.5573 6.8730
Na -2.9781 4.9486 7.3374
Na -5.8854 6.9011 13.3641
Ag 0.0000 0.0000 0.0000
Ag -5.2507 6.1144 5.9398
```

Energy of formation   0.310 eV/atom
Electronic total energy   -2.68 eV/atom
Energy above the most stable polymorph in this dataset   0 meV/atom



Density functional theory data (PBE) for an optimized crystal structure of YSnS2.

```
4
Lattice="-1.0883 7.3025 4.8691 -2.8223 4.5589 7.0335 1.0475 5.0216 7.2046" Properties=species:S:1:pos:R:3 pbc="T T T"
Y -1.4315 8.4415 9.5536
S -2.5559 15.0716 17.0572
S -0.3072 1.8114 2.0500
Sn 0.0000 0.0000 0.0000
```

Formation energy without anion corrections   -1.26 eV/atom
Electronic total energy   -5.94 eV/atom



Density functional theory data (PBE) for an optimized crystal structure of MgSc2Ag6.

```
18
Lattice="5.0886 0.0902 -0.1171 -0.3377 7.6697 -4.2238 0.0985 -0.0813 8.7614" Properties=species:S:1:pos:R:3 pbc="T T T"
Mg 1.2617 1.8788 5.4862
Mg 3.5878 5.7998 -1.0656
Sc 2.4024 5.0791 4.4452
Sc 5.0654 1.3306 2.1182
Sc 2.4471 2.5995 -0.0246
Sc -0.2159 6.3480 2.3024
Ag 2.3688 5.1147 1.5202
Ag 4.9530 3.8871 0.7006
Ag 2.4806 2.5639 2.9004
Ag -0.1035 3.7915 3.7200
Ag 0.9985 6.9936 -0.2666
Ag 1.0886 4.5163 -1.7484
Ag 3.8510 0.6850 4.6872
Ag 3.7609 3.1622 6.1689
Ag -0.1829 6.3135 5.2270
Ag 2.5600 0.0428 1.3918
Ag 5.0324 1.3651 -0.8064
Ag 2.2895 7.6358 3.0288
```

Energy of formation   -0.209 eV/atom
Electronic total energy   -3.69 eV/atom